--- A ---
{
  "formula": "RbRePt",
  "functional": "GGA-PBE",
  "state": "relaxed",
  "density_g_cm3": 9.716,
  "lattice_angstrom": [[0.000, 3.417, 3.417], [3.417, 0.000, 3.417], [3.417, 3.417, 0.000]],
  "species": ["Pt", "Re", "Rb"],
  "fractional_positions": [[0.000, 0.000, 0.000], [0.750, 0.750, 0.750], [0.250, 0.250, 0.250]]
}



--- B ---
{
  "formula": "RbRePt",
  "functional": "GGA-PBE",
  "state": "relaxed",
  "density_g_cm3": 9.371,
  "lattice_angstrom": [[0.000, 3.458, 3.458], [3.458, 0.000, 3.458], [3.458, 3.458, 0.000]],
  "species": ["Rb", "Re", "Pt"],
  "fractional_positions": [[0.000, 0.000, 0.000], [0.750, 0.750, 0.750], [0.250, 0.250, 0.250]]
}



A has the most favorable energy; the next structure is 85.7 kJ/mol of atoms above.